No. 1
VASP calculation (PBE) on an optimized crystal structure of Li2HClO.

Cell lengths 3.8904, 3.8904, 4.1778 Å; angles 90.00, 90.00, 90.00 degrees
Last column: nearest neighbours and their distance in Å.
Fractional coordinates of all 5 atoms:
Li1 0.0000 0.5000 0.0000  2 O 2.01
Li2 0.5000 0.0000 0.0000  2 O 2.01
H1 0.0000 0.0000 0.3517  1 O 0.97
Cl1 0.5000 0.5000 0.6494  4 Li 2.43
O1 0.0000 0.0000 0.1183  1 H 0.97

Results
- energy above the lowest structure with this stoichiometry (meV per atom) = 24
- DOS at the Fermi energy (states/eV/cell) = 0.00

No. 2
VASP calculation (PBE) on an optimized crystal structure of Li2HClO.

Cell lengths 9.8107, 5.4823, 5.6665 Å; angles 90.00, 90.00, 90.00 degrees
Last column: nearest neighbours and their distance in Å.
Fractional coordinates of all 20 atoms:
Li1 0.1192 0.9998 0.0703  2 O 1.96-1.97
Li2 0.1192 0.5002 0.0703  2 O 1.96-1.97
Li3 0.3808 0.0002 0.5703  2 O 1.96-1.97
Li4 0.3808 0.4998 0.5703  2 O 1.96-1.97
Li5 0.6192 0.9998 0.4297  2 O 1.96-1.97
Li6 0.6192 0.5002 0.4297  2 O 1.96-1.97
Li7 0.8808 0.0002 0.9297  2 O 1.96-1.97
Li8 0.8808 0.4998 0.9297  2 O 1.96-1.97
H1 0.0585 0.2500 0.7282  1 O 0.98
H2 0.4415 0.7500 0.2282  1 O 0.98
H3 0.5585 0.2500 0.7718  1 O 0.98
H4 0.9415 0.7500 0.2718  1 O 0.98
Cl1 0.2041 0.2500 0.3914  1 H 2.38, 4 Li 2.43
Cl2 0.2959 0.7500 0.8914  1 H 2.38, 4 Li 2.43
Cl3 0.7041 0.2500 0.1086  1 H 2.38, 4 Li 2.43
Cl4 0.7959 0.7500 0.6086  1 H 2.38, 4 Li 2.43
O1 0.0215 0.2500 0.8885  1 H 0.98
O2 0.4785 0.7500 0.3885  1 H 0.98
O3 0.5215 0.2500 0.6115  1 H 0.98
O4 0.9785 0.7500 0.1115  1 H 0.98

Results
- energy above the lowest structure with this stoichiometry (meV per atom) = 0
- DOS at the Fermi energy (states/eV/cell) = 0.00

No. 3
VASP calculation (PBE) on an optimized crystal structure of LiPHCl2.

Cell lengths 4.9899, 4.9899, 3.2715 Å; angles 90.00, 90.00, 90.00 degrees
Last column: nearest neighbours and their distance in Å.
Fractional coordinates of all 5 atoms:
Li1 0.0000 0.0000 0.0000  8 Cl 2.98, 2 Li 3.27
P1 0.5000 0.5000 0.0000  2 H 1.64
H1 0.5000 0.5000 0.5000  2 P 1.64
Cl1 0.0000 0.5000 0.5000  2 H 2.49
Cl2 0.5000 0.0000 0.5000  2 H 2.49

Results
- energy above the lowest structure with this stoichiometry (meV per atom) = 0
- DOS at the Fermi energy (states/eV/cell) = 2.28

No. 4
VASP calculation (PBE) on an optimized crystal structure of LiP2HCl.

Cell lengths 4.4620, 4.4620, 4.7375 Å; angles 90.00, 90.00, 90.00 degrees
Last column: nearest neighbours and their distance in Å.
Fractional coordinates of all 5 atoms:
Li1 0.0000 0.0000 0.0000  4 P 2.23, 2 Cl 2.37
P1 0.0000 0.5000 0.0000  2 Li 2.23
P2 0.5000 0.0000 0.0000  2 Li 2.23
H1 0.5000 0.5000 0.5000  4 Cl 3.16, 8 P 3.25
Cl1 0.0000 0.0000 0.5000  2 Li 2.37

Results
- energy above the lowest structure with this stoichiometry (meV per atom) = 1116
- DOS at the Fermi energy (states/eV/cell) = 3.44

No. 5
VASP calculation (PBE) on an optimized crystal structure of LiPHCl2.

Cell lengths 4.7617, 4.7617, 4.9442 Å; angles 90.00, 90.00, 90.00 degrees
Last column: nearest neighbours and their distance in Å.
Fractional coordinates of all 5 atoms:
Li1 0.0000 0.0000 0.0000  4 Cl 2.38, 2 P 2.47
P1 0.0000 0.0000 0.5000  2 Li 2.47
H1 0.5000 0.5000 0.5000  4 P 3.37, 8 Cl 3.43
Cl1 0.0000 0.5000 0.0000  2 Li 2.38
Cl2 0.5000 0.0000 0.0000  2 Li 2.38

Results
- energy above the lowest structure with this stoichiometry (meV per atom) = 713
- DOS at the Fermi energy (states/eV/cell) = 4.57

No. 6
VASP calculation (PBE) on an optimized crystal structure of LiP2HCl.

Cell lengths 3.5001, 3.5001, 8.0265 Å; angles 90.00, 90.00, 90.00 degrees
Last column: nearest neighbours and their distance in Å.
Fractional coordinates of all 5 atoms:
Li1 0.0000 0.0000 0.0000  4 Cl 2.47
P1 0.0000 0.5000 0.5000  2 H 1.75
P2 0.5000 0.0000 0.5000  2 H 1.75
H1 0.5000 0.5000 0.5000  4 P 1.75
Cl1 0.5000 0.5000 0.0000  4 Li 2.47

Results
- energy above the lowest structure with this stoichiometry (meV per atom) = 0
- DOS at the Fermi energy (states/eV/cell) = 2.04

No. 7
VASP calculation (PBE) on an optimized crystal structure of LiPuH2Cl8.

Cell lengths 6.6265, 6.9419, 7.5538 Å; angles 89.94, 89.75, 87.64 degrees
Last column: nearest neighbours and their distance in Å.
Fractional coordinates of all 12 atoms:
Li1 0.0000 0.0000 0.0000  6 Cl 2.61-2.66
Pu1 0.0000 0.0000 0.5000  6 Cl 2.52-2.53
H1 0.2618 0.6824 0.8172  1 Cl 1.31
H2 0.7382 0.3176 0.1828  1 Cl 1.31
Cl1 0.1964 0.1597 0.7418  1 Pu 2.53, 1 Li 2.61
Cl2 0.2112 0.1410 0.2561  1 Pu 2.53, 1 Li 2.61
Cl3 0.2402 0.7096 0.5172  1 H 2.28, 1 Pu 2.52
Cl4 0.2548 0.6940 0.9898  1 H 1.31
Cl5 0.7452 0.3060 0.0102  1 H 1.31
Cl6 0.7598 0.2904 0.4828  1 H 2.28, 1 Pu 2.52
Cl7 0.7888 0.8590 0.7439  1 Pu 2.53, 1 Li 2.61
Cl8 0.8036 0.8403 0.2582  1 Pu 2.53, 1 Li 2.61

Results
- DOS at the Fermi energy (states/eV/cell) = 10.83

No. 8
VASP calculation (PBE) on an optimized crystal structure of LiHSCl2.

Cell lengths 4.8310, 4.8310, 4.9486 Å; angles 90.00, 90.00, 90.00 degrees
Last column: nearest neighbours and their distance in Å.
Fractional coordinates of all 5 atoms:
Li1 0.0000 0.0000 0.0000  4 Cl 2.42, 2 S 2.47
H1 0.5000 0.5000 0.5000  4 S 3.42, 8 Cl 3.46
S1 0.0000 0.0000 0.5000  2 Li 2.47
Cl1 0.0000 0.5000 0.0000  2 Li 2.42
Cl2 0.5000 0.0000 0.0000  2 Li 2.42

Results
- energy above the lowest structure with this stoichiometry (meV per atom) = 572
- DOS at the Fermi energy (states/eV/cell) = 4.86

No. 9
VASP calculation (PBE) on an optimized crystal structure of LiHSCl2.

Cell lengths 5.0717, 5.0717, 3.2671 Å; angles 90.00, 90.00, 90.00 degrees
Last column: nearest neighbours and their distance in Å.
Fractional coordinates of all 5 atoms:
Li1 0.0000 0.0000 0.0000  8 Cl 3.02, 2 Li 3.27
H1 0.5000 0.5000 0.5000  2 S 1.63
S1 0.5000 0.5000 0.0000  2 H 1.63
Cl1 0.0000 0.5000 0.5000  2 H 2.54
Cl2 0.5000 0.0000 0.5000  2 H 2.54

Results
- energy above the lowest structure with this stoichiometry (meV per atom) = 0
- DOS at the Fermi energy (states/eV/cell) = 3.72

No. 10
VASP calculation (PBE) on an optimized crystal structure of LiHS2Cl.

Cell lengths 3.5658, 3.5658, 7.9728 Å; angles 90.00, 90.00, 90.00 degrees
Last column: nearest neighbours and their distance in Å.
Fractional coordinates of all 5 atoms:
Li1 0.0000 0.0000 0.0000  4 Cl 2.52
H1 0.5000 0.5000 0.5000  4 S 1.78
S1 0.0000 0.5000 0.5000  2 H 1.78
S2 0.5000 0.0000 0.5000  2 H 1.78
Cl1 0.5000 0.5000 0.0000  4 Li 2.52

Results
- energy above the lowest structure with this stoichiometry (meV per atom) = 0
- DOS at the Fermi energy (states/eV/cell) = 1.60

No. 11
VASP calculation (PBE) on an optimized crystal structure of LiHS2Cl.

Cell lengths 4.5159, 4.5159, 4.9416 Å; angles 90.00, 90.00, 90.00 degrees
Last column: nearest neighbours and their distance in Å.
Fractional coordinates of all 5 atoms:
Li1 0.0000 0.0000 0.0000  4 S 2.26, 2 Cl 2.47
H1 0.5000 0.5000 0.5000  4 Cl 3.19, 8 S 3.35
S1 0.0000 0.5000 0.0000  2 Li 2.26
S2 0.5000 0.0000 0.0000  2 Li 2.26
Cl1 0.0000 0.0000 0.5000  2 Li 2.47

Results
- energy above the lowest structure with this stoichiometry (meV per atom) = 974
- DOS at the Fermi energy (states/eV/cell) = 3.67

No. 12
VASP calculation (PBE) on an optimized crystal structure of Li2SnHCl.

Cell lengths 4.3475, 4.3475, 6.4004 Å; angles 90.00, 90.00, 90.00 degrees
Last column: nearest neighbours and their distance in Å.
Fractional coordinates of all 5 atoms:
Li1 0.0000 0.5000 0.0000  2 Cl 2.17
Li2 0.5000 0.0000 0.0000  2 Cl 2.17
Sn1 0.0000 0.0000 0.5000  4 H 3.07, 2 Cl 3.20
H1 0.5000 0.5000 0.5000  4 Sn 3.07
Cl1 0.0000 0.0000 0.0000  4 Li 2.17

Results
- DOS at the Fermi energy (states/eV/cell) = 2.05

Number 1: uncorrected energy -4.45 eV/atom. Number 2: uncorrected energy -4.48 eV/atom. Number 3: uncorrected energy -3.00 eV/atom. Number 4: uncorrected energy -2.56 eV/atom. Number 5: uncorrected energy -2.29 eV/atom. Number 6: uncorrected energy -3.67 eV/atom. Number 7: uncorrected energy -4.32 eV/atom. Number 8: uncorrected energy -2.17 eV/atom. Number 9: uncorrected energy -2.75 eV/atom. Number 10: uncorrected energy -3.26 eV/atom. Number 11: uncorrected energy -2.28 eV/atom. Number 12: uncorrected energy -2.55 eV/atom.